The following is a DFT calculation (PBE) of an optimized crystal structure of Cu2RuF.

Properties
V   103 Å³/cell
VASP energy   -36.70 eV per cell
E above lowest polymorph   0 meV per atom
Space group   I-42d (122)

Cell lengths 5.2152, 5.2152, 5.2152 Å; angles 102.20, 102.20, 125.25 degrees
Element x y z (fractional)
Cu  0.0831  0.6250  0.9581
Cu  0.3750  0.3331  0.4581
Cu  0.6669  0.1250  0.0419
Cu  0.8750  0.9169  0.5419
Ru  0.2500  0.7500  0.5000
Ru  0.5000  0.5000  0.0000
F  0.0000  0.0000  0.0000
F  0.7500  0.2500  0.5000